Entry 1:
A plane-wave DFT calculation with GGA-PBE was carried out for a relaxed RbUHg2S6 crystal.

It has space group P1 (No. 1), with a = 6.2862 Å, b = 6.6958 Å, c = 8.7834 Å, α = 68.41°, β = 83.75° and γ = 68.53°. The asymmetric unit holds Rb at (0.0000, 0.0000, 0.0000), U at (0.6656, 0.8262, 0.5134), Hg at (0.0215, 0.1326, 0.4864), Hg at (0.3222, 0.5108, 0.5294), S at (0.3393, 0.0712, 0.6663), S at (0.3967, 0.8846, 0.2969), S at (0.6112, 0.4678, 0.7222), S at (0.7127, 0.1913, 0.3044), S at (0.9380, 0.7613, 0.7278) and S at (0.9888, 0.5834, 0.3595).

As for the volume: 31.98 Å³/atom. For the total DFT energy (no corrections), the calculation gives -43.75 eV/cell. Its density is 4.76 Mg/m³.

Entry 2:
A plane-wave DFT calculation with GGA-PBE was carried out for a relaxed Rb2UHgS5 crystal.

It has space group Cmc2_1 (No. 36), with a = 4.0746 Å, b = 19.9207 Å, c = 13.9087 Å, α = 90.00°, β = 90.00° and γ = 90.00°. The asymmetric unit holds Rb at (0.0000, 0.1124, 0.0000), Rb at (0.0000, 0.1262, 0.6272), U at (0.0000, 0.2121, 0.3319), Hg at (0.0000, 0.4422, 0.7514), S at (0.0000, 0.0837, 0.3639), S at (0.0000, 0.2835, 0.9505), S at (0.0000, 0.2952, 0.7103), S at (0.0000, 0.3336, 0.3190) and S at (0.0000, 0.4974, 0.6001).

As for the volume: 31.36 Å³/atom. For the total DFT energy (no corrections), the calculation gives -171.13 eV/cell. Its density is 4.53 Mg/m³.

| no. | total magnetization (μB/atom) |
| --- | --- |
| 1 | 0.000 |
| 2 | 0.056 |